Hf2BWN | PBE-GGA | optimized geometry

Cell: 4.992 4.992 3.988 Å, 90.00 90.00 90.00°
Positions (direct):
Hf  0.000  0.500  0.000
Hf  0.500  0.000  0.000
B  0.000  0.000  0.500
W  0.000  0.000  0.000
N  0.500  0.500  0.500

Values from the calculation:
VASP energy: -7.83 eV per atom
V: 19.9 A^3/atom
Energy relative to the elements, uncorrected: 1741 meV per atom

Li4TiGa5 | PBE-GGA | optimized geometry

Cell: 2.947 2.947 17.812 Å, 90.00 90.00 90.00°
Positions (direct):
Li  0.000  0.000  0.105
Li  0.000  0.000  0.302
Li  0.000  0.000  0.698
Li  0.000  0.000  0.895
Ti  0.000  0.000  0.500
Ga  0.500  0.500  0.000
Ga  0.500  0.500  0.205
Ga  0.500  0.500  0.398
Ga  0.500  0.500  0.602
Ga  0.500  0.500  0.795

Values from the calculation:
VASP energy: -3.38 eV per atom
V: 15.5 A^3/atom

Rb2NpO6 | PBE-GGA | optimized geometry

Cell: 6.180 6.180 5.056 Å, 90.00 90.00 120.00°
Positions (direct):
Rb  0.333  0.667  0.306
Rb  0.667  0.333  0.694
Np  0.000  0.000  0.000
O  0.149  0.297  0.788
O  0.149  0.851  0.788
O  0.297  0.149  0.212
O  0.703  0.851  0.788
O  0.851  0.149  0.212
O  0.851  0.703  0.212

Values from the calculation:
VASP energy: -6.60 eV per atom
E above lowest polymorph: 243 meV per atom
V: 18.6 A^3/atom
Energy relative to the elements, uncorrected: -1645 meV per atom

NaCa2CrCu | PBE-GGA | optimized geometry

Cell: 5.823 5.823 4.979 Å, 90.00 90.00 90.00°
Positions (direct):
Na  0.000  0.000  0.000
Ca  0.000  0.500  0.000
Ca  0.500  0.000  0.000
Cr  0.000  0.000  0.500
Cu  0.500  0.500  0.500

Values from the calculation:
VASP energy: -2.71 eV per atom
V: 33.8 A^3/atom

Rb5Cl2F3 | PBE-GGA | optimized geometry

Cell: 7.911 7.911 10.889 Å, 123.79 123.79 31.76°
Positions (direct):
Rb  0.000  0.000  0.000
Rb  0.079  0.079  0.411
Rb  0.309  0.309  0.185
Rb  0.691  0.691  0.815
Rb  0.921  0.921  0.589
Cl  0.327  0.327  0.732
Cl  0.673  0.673  0.268
F  0.114  0.114  0.877
F  0.500  0.500  0.500
F  0.886  0.886  0.123

Values from the calculation:
VASP energy: -3.77 eV per atom
V: 29.3 A^3/atom
Energy relative to the elements, uncorrected: -2359 meV per atom

Ca5CdPb4 | PBE-GGA | optimized geometry

Cell: 3.733 3.733 21.382 Å, 90.00 90.00 90.00°
Positions (direct):
Ca  0.000  0.000  0.000
Ca  0.000  0.000  0.207
Ca  0.000  0.000  0.408
Ca  0.000  0.000  0.592
Ca  0.000  0.000  0.793
Cd  0.500  0.500  0.500
Pb  0.500  0.500  0.103
Pb  0.500  0.500  0.310
Pb  0.500  0.500  0.690
Pb  0.500  0.500  0.897

Values from the calculation:
VASP energy: -3.08 eV per atom
V: 29.8 A^3/atom

BaCdPd | PBE-GGA | optimized geometry

Cell: 7.965 4.619 13.583 Å, 90.00 90.15 90.00°
Positions (direct):
Ba  0.028  0.250  0.376
Ba  0.158  0.250  0.079
Ba  0.470  0.750  0.710
Ba  0.530  0.250  0.290
Ba  0.842  0.750  0.921
Ba  0.972  0.750  0.624
Cd  0.144  0.250  0.799
Cd  0.357  0.750  0.459
Cd  0.496  0.750  0.084
Cd  0.504  0.250  0.916
Cd  0.643  0.250  0.541
Cd  0.856  0.750  0.201
Pd  0.232  0.750  0.245
Pd  0.275  0.250  0.577
Pd  0.275  0.750  0.910
Pd  0.725  0.250  0.090
Pd  0.725  0.750  0.423
Pd  0.768  0.250  0.755

Values from the calculation:
VASP energy: -3.19 eV per atom
V: 27.8 A^3/atom

CsLiPbF4 | PBE-GGA | optimized geometry

Cell: 5.729 6.083 7.841 Å, 90.00 101.97 90.00°
Positions (direct):
Cs  0.211  0.250  0.087
Cs  0.789  0.750  0.913
Li  0.356  0.250  0.693
Li  0.644  0.750  0.307
Pb  0.191  0.750  0.468
Pb  0.809  0.250  0.532
F  0.147  0.012  0.708
F  0.147  0.488  0.708
F  0.329  0.750  0.185
F  0.375  0.250  0.457
F  0.625  0.750  0.543
F  0.671  0.250  0.815
F  0.853  0.512  0.292
F  0.853  0.988  0.292

Values from the calculation:
VASP energy: -4.61 eV per atom
V: 19.1 A^3/atom
Energy relative to the elements, uncorrected: -2612 meV per atom

LiMnSb | PBE-GGA | optimized geometry

Cell: 3.972 3.972 6.782 Å, 90.00 90.00 90.00°
Positions (direct):
Li  0.250  0.250  0.183
Li  0.750  0.750  0.817
Mn  0.250  0.750  0.500
Mn  0.750  0.250  0.500
Sb  0.250  0.250  0.757
Sb  0.750  0.750  0.243

Values from the calculation:
VASP energy: -5.29 eV per atom
V: 17.8 A^3/atom
Energy relative to the elements, uncorrected: -222 meV per atom

Li2Ag6Sb | PBE-GGA | optimized geometry

Cell: 5.053 5.053 7.475 Å, 102.11 102.11 69.36°
Positions (direct):
Li  0.173  0.173  0.083
Li  0.827  0.827  0.917
Ag  0.197  0.711  0.301
Ag  0.251  0.251  0.501
Ag  0.289  0.803  0.699
Ag  0.711  0.197  0.301
Ag  0.749  0.749  0.499
Ag  0.803  0.289  0.699
Sb  0.500  0.500  0.000

Values from the calculation:
VASP energy: -2.87 eV per atom
V: 19.2 A^3/atom
Energy relative to the elements, uncorrected: -88 meV per atom

CsBe2GeI8 | PBE-GGA | optimized geometry

Cell: 11.930 11.930 11.930 Å, 34.72 34.72 34.72°
Positions (direct):
Cs  0.000  0.000  0.000
Be  0.240  0.240  0.240
Be  0.760  0.760  0.760
Ge  0.500  0.500  0.500
I  0.111  0.456  0.774
I  0.226  0.889  0.544
I  0.311  0.311  0.311
I  0.456  0.774  0.111
I  0.544  0.226  0.889
I  0.689  0.689  0.689
I  0.774  0.111  0.456
I  0.889  0.544  0.226

Values from the calculation:
VASP energy: -2.67 eV per atom
V: 41.0 A^3/atom
Energy relative to the elements, uncorrected: -555 meV per atom

BaNa2La | PBE-GGA | optimized geometry

Cell: 9.751 9.751 7.291 Å, 90.00 90.00 90.00°
Positions (direct):
Ba  0.000  0.000  0.000
Ba  0.000  0.500  0.250
Ba  0.500  0.000  0.750
Ba  0.500  0.500  0.500
Na  0.244  0.750  0.625
Na  0.250  0.244  0.375
Na  0.250  0.256  0.875
Na  0.256  0.750  0.125
Na  0.744  0.250  0.125
Na  0.750  0.744  0.875
Na  0.750  0.756  0.375
Na  0.756  0.250  0.625
La  0.000  0.000  0.500
La  0.000  0.500  0.750
La  0.500  0.000  0.250
La  0.500  0.500  0.000

Values from the calculation:
VASP energy: -1.98 eV per atom
E above lowest polymorph: 130 meV per atom
V: 43.3 A^3/atom

CdIn2GeN4 | PBE-GGA | optimized geometry

Cell: 5.018 5.018 9.401 Å, 90.00 90.00 90.00°
Positions (direct):
Cd  0.000  0.000  0.000
Cd  0.500  0.500  0.500
In  0.000  0.500  0.250
In  0.000  0.500  0.750
In  0.500  0.000  0.250
In  0.500  0.000  0.750
Ge  0.000  0.000  0.500
Ge  0.500  0.500  0.000
N  0.216  0.216  0.382
N  0.216  0.784  0.618
N  0.284  0.284  0.882
N  0.284  0.716  0.118
N  0.716  0.284  0.118
N  0.716  0.716  0.882
N  0.784  0.216  0.618
N  0.784  0.784  0.382

Values from the calculation:
VASP energy: -5.47 eV per atom
V: 14.8 A^3/atom
Energy relative to the elements, uncorrected: 71 meV per atom

PaTiSe3 | PBE-GGA | optimized geometry

Cell: 7.439 3.809 7.934 Å, 90.00 97.07 90.00°
Positions (direct):
Pa  0.126  0.250  0.276
Pa  0.874  0.750  0.724
Ti  0.376  0.750  0.874
Ti  0.624  0.250  0.126
Se  0.132  0.250  0.896
Se  0.206  0.750  0.553
Se  0.413  0.750  0.203
Se  0.587  0.250  0.797
Se  0.794  0.250  0.447
Se  0.868  0.750  0.104

Values from the calculation:
VASP energy: -6.82 eV per atom
E above lowest polymorph: 0 meV per atom
V: 22.3 A^3/atom
Energy relative to the elements, uncorrected: -1255 meV per atom

TlTe4 | PBE-GGA | optimized geometry

Cell: 5.721 5.721 5.721 Å, 90.00 90.00 90.00°
Positions (direct):
Tl  0.000  0.000  0.000
Te  0.000  0.000  0.500
Te  0.000  0.500  0.000
Te  0.500  0.000  0.000
Te  0.500  0.500  0.500

Values from the calculation:
VASP energy: -2.26 eV per atom
E above lowest polymorph: 358 meV per atom
V: 37.5 A^3/atom
Energy relative to the elements, uncorrected: 723 meV per atom

InHgSN2 | PBE-GGA | optimized geometry

Cell: 4.257 4.257 5.854 Å, 90.00 90.00 90.00°
Positions (direct):
In  0.000  0.000  0.000
Hg  0.500  0.500  0.500
S  0.500  0.500  0.000
N  0.000  0.500  0.500
N  0.500  0.000  0.500

Values from the calculation:
VASP energy: -3.10 eV per atom
E above lowest polymorph: 297 meV per atom
V: 21.2 A^3/atom
Energy relative to the elements, uncorrected: 1664 meV per atom

Ho3Cd7Ag2 | PBE-GGA | optimized geometry

Cell: 5.073 4.426 12.917 Å, 90.00 90.08 90.00°
Positions (direct):
Ho  0.000  0.000  0.000
Ho  0.497  0.500  0.663
Ho  0.503  0.500  0.337
Cd  0.002  0.500  0.166
Cd  0.249  0.000  0.499
Cd  0.500  0.000  0.160
Cd  0.500  0.000  0.840
Cd  0.500  0.500  0.000
Cd  0.751  0.000  0.501
Cd  0.998  0.500  0.834
Ag  0.002  0.000  0.702
Ag  0.998  0.000  0.298

Values from the calculation:
VASP energy: -2.28 eV per atom
E above lowest polymorph: 51 meV per atom
V: 24.2 A^3/atom

Ac2Ga4Cu3Pb | PBE-GGA | optimized geometry

Cell: 4.443 4.443 10.890 Å, 90.00 90.00 90.00°
Positions (direct):
Ac  0.000  0.500  0.234
Ac  0.500  0.000  0.766
Ga  0.000  0.000  0.000
Ga  0.000  0.500  0.657
Ga  0.500  0.000  0.343
Ga  0.500  0.500  0.000
Cu  0.000  0.500  0.883
Cu  0.500  0.000  0.117
Cu  0.500  0.500  0.500
Pb  0.000  0.000  0.500

Values from the calculation:
VASP energy: -4.00 eV per atom
V: 21.5 A^3/atom